Entry 1:
This record from Alexandria describes a relaxed structure of MnNiP2S6. The functional is GGA-PBE.

CIF file:
```
data_MnNiP2S6
_chemical_formula_sum 'Mn1 Ni1 P2 S6'
_cell_length_a 5.803
_cell_length_b 5.807
_cell_length_c 6.640
_cell_angle_alpha 64.08
_cell_angle_beta 64.22
_cell_angle_gamma 60.04
_space_group_name_H-M_alt 'P 1'
_space_group_IT_number 1
_space_group_name_Hall 'P 1'
loop_
_atom_site_label
_atom_site_fract_x
_atom_site_fract_y
_atom_site_fract_z
_atom_site_occupancy
Mn1 0.000 0.000 0.000 1
Ni1 0.513 0.511 0.465 1
P1 0.301 0.301 0.098 1
P2 0.783 0.784 0.649 1
S1 0.097 0.731 0.771 1
S2 0.226 0.597 0.253 1
S3 0.401 0.098 0.770 1
S4 0.597 0.925 0.252 1
S5 0.730 0.402 0.769 1
S6 0.925 0.226 0.253 1
```

Summary:
- Space group: P1, No. 1
- Energy relative to the elements, uncorrected: -104 meV/atom

---

Entry 2:
This record from Alexandria describes a relaxed structure of La6ErTh. The functional is GGA-PBE.

CIF file:
```
data_La6ErTh
_chemical_formula_sum 'La6 Er1 Th1'
_cell_length_a 5.195
_cell_length_b 5.195
_cell_length_c 10.391
_cell_angle_alpha 90.00
_cell_angle_beta 90.00
_cell_angle_gamma 90.00
_space_group_name_H-M_alt 'P 1'
_space_group_IT_number 1
_space_group_name_Hall 'P 1'
loop_
_atom_site_label
_atom_site_fract_x
_atom_site_fract_y
_atom_site_fract_z
_atom_site_occupancy
La1 0.000 0.000 0.000 1
La2 0.000 0.000 0.500 1
La3 0.000 0.500 0.245 1
La4 0.000 0.500 0.755 1
La5 0.500 0.000 0.245 1
La6 0.500 0.000 0.755 1
Er1 0.500 0.500 0.500 1
Th1 0.500 0.500 0.000 1
```

Summary:
- Space group: P4/mmm, No. 123
- Formation energy: 3.0 kJ per mole of atoms
- Offset from the most stable computed form: 0.0 meV/atom

---

Entry 3:
This record from Alexandria describes a relaxed structure of ICl8F2. The functional is GGA-PBE.

CIF file:
```
data_ICl8F2
_chemical_formula_sum 'I1 Cl8 F2'
_cell_length_a 8.485
_cell_length_b 8.485
_cell_length_c 7.449
_cell_angle_alpha 102.19
_cell_angle_beta 102.19
_cell_angle_gamma 48.09
_space_group_name_H-M_alt 'P 1'
_space_group_IT_number 1
_space_group_name_Hall 'P 1'
loop_
_atom_site_label
_atom_site_fract_x
_atom_site_fract_y
_atom_site_fract_z
_atom_site_occupancy
I1 0.000 0.000 0.000 1
Cl1 0.156 0.156 0.191 1
Cl2 0.179 0.179 0.516 1
Cl3 0.372 0.372 0.075 1
Cl4 0.424 0.424 0.347 1
Cl5 0.576 0.576 0.653 1
Cl6 0.628 0.628 0.925 1
Cl7 0.821 0.821 0.484 1
Cl8 0.844 0.844 0.809 1
F1 0.205 0.205 0.758 1
F2 0.795 0.795 0.242 1
```

Summary:
- Space group: C2/m, No. 12
- Energy relative to the elements, uncorrected: -143 meV/atom

---

Entry 4:
This record from Alexandria describes a relaxed structure of BaCaTc2. The functional is GGA-PBE.

CIF file:
```
data_BaCaTc2
_chemical_formula_sum 'Ba1 Ca1 Tc2'
_cell_length_a 3.210
_cell_length_b 4.788
_cell_length_c 6.893
_cell_angle_alpha 90.00
_cell_angle_beta 90.00
_cell_angle_gamma 90.00
_space_group_name_H-M_alt 'P 1'
_space_group_IT_number 1
_space_group_name_Hall 'P 1'
loop_
_atom_site_label
_atom_site_fract_x
_atom_site_fract_y
_atom_site_fract_z
_atom_site_occupancy
Ba1 0.000 0.000 0.000 1
Ca1 0.000 0.000 0.500 1
Tc1 0.500 0.500 0.341 1
Tc2 0.500 0.500 0.659 1
```

Summary:
- Space group: Pmmm, No. 47
- Formation energy: 72.3 kJ per mole of atoms
- Offset from the most stable computed form: 484.5 meV/atom

---

Entry 5:
This record from Alexandria describes a relaxed structure of Y2InCoHg. The functional is GGA-PBE.

CIF file:
```
data_Y2InCoHg
_chemical_formula_sum 'Y2 In1 Co1 Hg1'
_cell_length_a 5.114
_cell_length_b 5.114
_cell_length_c 4.907
_cell_angle_alpha 90.00
_cell_angle_beta 90.00
_cell_angle_gamma 90.00
_space_group_name_H-M_alt 'P 1'
_space_group_IT_number 1
_space_group_name_Hall 'P 1'
loop_
_atom_site_label
_atom_site_fract_x
_atom_site_fract_y
_atom_site_fract_z
_atom_site_occupancy
Y1 0.000 0.500 0.000 1
Y2 0.500 0.000 0.000 1
In1 0.000 0.000 0.500 1
Co1 0.000 0.000 0.000 1
Hg1 0.500 0.500 0.500 1
```

Summary:
- Space group: P4/mmm, No. 123
- Formation energy: -21.5 kJ per mole of atoms